Density functional theory data (meta-GGA SCAN) for a crystal of SiP2NO relaxed with PBEsol.

Results
SG = No. 123
Uncorrected energy = -8.4683 eV per atom
N(E_F) = 0.39 states/eV per atom
Volume = 65 Å³/cell

CIF file:
```
data_SiP2NO
_chemical_formula_sum 'Si1 P2 N1 O1'
_cell_length_a 4.5027
_cell_length_b 4.5027
_cell_length_c 3.2255
_cell_angle_alpha 90.00
_cell_angle_beta 90.00
_cell_angle_gamma 90.00
_symmetry_space_group_name_H-M 'P 1'
_symmetry_Int_Tables_number 1
_symmetry_space_group_name_Hall 'P 1'
loop_
_atom_site_label
_atom_site_fract_x
_atom_site_fract_y
_atom_site_fract_z
_atom_site_occupancy
Si1 0.0000 0.0000 0.0000 1
P1 0.0000 0.5000 0.0000 1
P2 0.5000 0.0000 0.0000 1
N1 0.5000 0.5000 0.5000 1
O1 0.0000 0.0000 0.5000 1
```